Material: Mn3AuSe
Method: DFT, PBE
State: relaxed

Computed properties:
DOS(E_F)	2.57	states/eV per cell
energy above the lowest structure with this stoichiometry	0	meV/atom
symmetry	Pm-3m (221)
formation energy (no corrections)	0.7599	eV/atom
energy	-6.094	eV per atom

Cell: 4.9354 4.9354 4.9354 Å, 90.00 90.00 90.00°
Last column: nearest neighbours and their distance in Å.
Positions (direct):
Mn1 0.0000 0.5000 0.0000  2 Au 2.47
Mn2 0.0000 0.0000 0.5000  2 Au 2.47
Mn3 0.5000 0.0000 0.0000  2 Au 2.47
Au1 0.0000 0.0000 0.0000  6 Mn 2.47
Se1 0.5000 0.5000 0.5000  12 Mn 3.49